The following is a DFT calculation (GGA+U) of a relaxed VO2 crystal.

raw total energy: -7.768 eV per atom

a = 6.4775 Å, b = 6.4775 Å, c = 6.4897 Å
α = 106.24°, β = 106.24°, γ = 33.59°
Fractional positions:
V 0.1010 0.1010 0.1870
V 0.1959 0.1959 0.7766
V 0.8041 0.8041 0.2234
V 0.8990 0.8990 0.8130
O 0.0576 0.0576 0.8693
O 0.1374 0.1374 0.5053
O 0.2620 0.2620 0.1487
O 0.3649 0.3649 0.7977
O 0.6351 0.6351 0.2023
O 0.7380 0.7380 0.8513
O 0.8626 0.8626 0.4947
O 0.9424 0.9424 0.1307